This record from Alexandria via LeMat-Bulk describes a geometry-optimized AlCuBSe2 structure. The functional is PBEsol.

Lattice parameters (Å, degrees): 4.724 4.724 4.532 90.00 90.00 90.00
Sites, in units of the cell vectors:
Al  0.000  0.000  0.000
Cu  0.000  0.000  0.500
B  0.500  0.500  0.000
Se  0.000  0.500  0.500
Se  0.500  0.000  0.500

Computed properties:
Its final energy is -3.476 eV/atom. The space-group type is P4/mmm.